Material: K2CeP2O8
Method: DFT, GGA-PBEsol
State: optimized geometry

POSCAR file:
```
K2CeP2O8
1.0
7.609 0.000 0.000
0.000 10.884 0.000
-4.380 0.000 8.545
K Ce P O
8 4 8 32
direct
0.147 0.128 0.043
0.147 0.372 0.543
0.333 0.116 0.458
0.333 0.384 0.958
0.667 0.616 0.042
0.667 0.884 0.542
0.853 0.628 0.457
0.853 0.872 0.957
0.257 0.639 0.281
0.257 0.861 0.781
0.743 0.139 0.219
0.743 0.361 0.719
0.066 0.640 0.855
0.066 0.860 0.355
0.463 0.631 0.636
0.463 0.869 0.136
0.537 0.131 0.864
0.537 0.369 0.364
0.934 0.140 0.645
0.934 0.360 0.145
0.030 0.020 0.734
0.030 0.480 0.234
0.036 0.245 0.245
0.036 0.255 0.745
0.057 0.644 0.013
0.057 0.856 0.513
0.242 0.604 0.525
0.242 0.896 0.025
0.281 0.649 0.880
0.281 0.851 0.380
0.437 0.022 0.751
0.437 0.478 0.251
0.448 0.145 0.980
0.448 0.355 0.480
0.490 0.750 0.230
0.490 0.750 0.730
0.510 0.250 0.270
0.510 0.250 0.770
0.552 0.645 0.520
0.552 0.855 0.020
0.563 0.522 0.749
0.563 0.978 0.249
0.719 0.149 0.620
0.719 0.351 0.120
0.758 0.104 0.975
0.758 0.396 0.475
0.943 0.144 0.487
0.943 0.356 0.987
0.964 0.745 0.255
0.964 0.755 0.755
0.970 0.520 0.766
0.970 0.980 0.266
```

Calculated volume in Å³/cell: 707.66
Polymorph energy (0 for the lowest one) in meV per atom: 0
E_form (uncorrected) in eV per atom: -2.61
Final energy in Ha/atom: -0.2724

***

Material: KCeS2O8
Method: DFT, GGA-PBEsol
State: optimized geometry

POSCAR file:
```
KCeS2O8
1.0
5.455 0.000 0.000
0.226 6.968 0.000
0.269 0.555 8.350
K Ce S O
2 2 4 16
direct
0.245 0.349 0.184
0.755 0.651 0.816
0.321 0.181 0.700
0.679 0.819 0.300
0.222 0.695 0.544
0.242 0.828 0.069
0.758 0.172 0.931
0.778 0.305 0.456
0.018 0.716 0.107
0.030 0.226 0.486
0.212 0.549 0.679
0.226 0.925 0.907
0.276 0.965 0.195
0.332 0.613 0.398
0.385 0.855 0.579
0.463 0.695 0.075
0.537 0.305 0.925
0.615 0.145 0.421
0.668 0.387 0.602
0.724 0.035 0.805
0.774 0.075 0.093
0.788 0.451 0.321
0.970 0.774 0.514
0.982 0.284 0.893
```

Calculated volume in Å³/cell: 317.39
E_form (uncorrected) in eV per atom: -2.07
Final energy in Ha/atom: -0.2554

***

Material: K2CeSi6O15
Method: DFT, GGA-PBEsol
State: optimized geometry

POSCAR file:
```
K2CeSi6O15
1.0
8.842 -4.367 0.000
8.842 4.367 0.000
-8.004 0.000 8.807
K Ce Si O
4 2 12 30
direct
0.098 0.749 0.501
0.251 0.902 0.999
0.749 0.098 0.001
0.902 0.251 0.499
0.165 0.835 0.250
0.835 0.165 0.750
0.097 0.574 0.856
0.195 0.255 0.378
0.255 0.195 0.878
0.373 0.437 0.728
0.426 0.903 0.644
0.437 0.373 0.228
0.563 0.627 0.772
0.574 0.097 0.356
0.627 0.563 0.272
0.745 0.805 0.122
0.805 0.745 0.622
0.903 0.426 0.144
0.057 0.762 0.998
0.079 0.410 0.304
0.086 0.125 0.292
0.125 0.086 0.792
0.132 0.395 0.862
0.223 0.372 0.557
0.238 0.943 0.502
0.272 0.569 0.259
0.279 0.533 0.848
0.372 0.223 0.057
0.391 0.609 0.750
0.395 0.132 0.362
0.410 0.079 0.804
0.431 0.728 0.241
0.467 0.721 0.652
0.533 0.279 0.348
0.569 0.272 0.759
0.590 0.921 0.196
0.605 0.868 0.638
0.609 0.391 0.250
0.628 0.777 0.943
0.721 0.467 0.152
0.728 0.431 0.741
0.762 0.057 0.498
0.777 0.628 0.443
0.868 0.605 0.138
0.875 0.914 0.208
0.914 0.875 0.708
0.921 0.590 0.696
0.943 0.238 0.002
```

Calculated volume in Å³/cell: 680.16
E_form (uncorrected) in eV per atom: -2.81
Final energy in Ha/atom: -0.2902

***

Material: KCeW2O8
Method: DFT, GGA-PBEsol
State: optimized geometry

POSCAR file:
```
KCeW2O8
1.0
5.100 -5.343 0.000
5.100 5.343 0.000
-4.376 0.000 6.067
K Ce W O
2 2 4 16
direct
0.190 0.190 0.028
0.810 0.810 0.972
0.196 0.804 0.500
0.804 0.196 0.500
0.298 0.298 0.558
0.336 0.664 0.000
0.664 0.336 0.000
0.702 0.702 0.442
0.073 0.073 0.393
0.152 0.406 0.762
0.189 0.720 0.148
0.204 0.462 0.436
0.280 0.811 0.852
0.406 0.152 0.762
0.462 0.204 0.436
0.483 0.483 0.156
0.517 0.517 0.844
0.538 0.796 0.564
0.594 0.848 0.238
0.720 0.189 0.148
0.796 0.538 0.564
0.811 0.280 0.852
0.848 0.594 0.238
0.927 0.927 0.607
```

Calculated volume in Å³/cell: 330.66
E_form (uncorrected) in eV per atom: -2.49
Final energy in Ha/atom: -0.3284

***

Material: K3CeP2S8
Method: DFT, GGA-PBEsol
State: optimized geometry

POSCAR file:
```
K3CeP2S8
1.0
8.933 0.000 0.000
0.000 16.980 0.000
-0.028 0.000 9.456
K Ce P S
12 4 8 32
direct
0.113 0.212 0.371
0.113 0.288 0.871
0.233 0.029 0.985
0.233 0.471 0.485
0.383 0.705 0.631
0.383 0.795 0.131
0.617 0.205 0.869
0.617 0.295 0.369
0.767 0.529 0.515
0.767 0.971 0.015
0.887 0.712 0.129
0.887 0.788 0.629
0.278 0.512 0.031
0.278 0.988 0.531
0.722 0.012 0.469
0.722 0.488 0.969
0.026 0.598 0.779
0.026 0.902 0.279
0.496 0.104 0.257
0.496 0.396 0.757
0.504 0.604 0.243
0.504 0.896 0.743
0.974 0.098 0.721
0.974 0.402 0.221
0.039 0.021 0.321
0.039 0.479 0.821
0.069 0.625 0.575
0.069 0.875 0.075
0.171 0.656 0.911
0.171 0.844 0.411
0.189 0.130 0.673
0.189 0.370 0.173
0.281 0.617 0.276
0.281 0.883 0.776
0.374 0.176 0.133
0.374 0.324 0.633
0.453 0.515 0.754
0.453 0.985 0.254
0.462 0.128 0.468
0.462 0.372 0.968
0.538 0.628 0.032
0.538 0.872 0.532
0.547 0.015 0.746
0.547 0.485 0.246
0.626 0.676 0.367
0.626 0.824 0.867
0.719 0.117 0.224
0.719 0.383 0.724
0.811 0.630 0.827
0.811 0.870 0.327
0.829 0.156 0.589
0.829 0.344 0.089
0.931 0.125 0.925
0.931 0.375 0.425
0.961 0.521 0.179
0.961 0.979 0.679
```

Calculated volume in Å³/cell: 1434.23
E_form (uncorrected) in eV per atom: -1.05
Final energy in Ha/atom: -0.1874

***

Material: KCe5S8
Method: DFT, GGA-PBEsol
State: optimized geometry

POSCAR file:
```
KCe5S8
1.0
-4.236 4.236 4.213
4.236 -4.236 4.213
4.236 4.236 -4.213
K Ce S
1 5 8
direct
0.000 0.000 0.000
0.240 0.620 0.121
0.380 0.502 0.620
0.498 0.119 0.879
0.750 0.250 0.500
0.881 0.760 0.380
0.127 0.711 0.741
0.130 0.231 0.742
0.289 0.030 0.416
0.489 0.389 0.258
0.611 0.870 0.101
0.614 0.873 0.584
0.769 0.511 0.899
0.970 0.386 0.259
```

Calculated volume in Å³/cell: 302.45
E_form (uncorrected) in eV per atom: -1.94
Final energy in Ha/atom: -0.2528

***

Material: KCeS2
Method: DFT, GGA-PBEsol
State: optimized geometry

POSCAR file:
```
KCeS2
1.0
2.066 1.193 7.252
-2.066 1.193 7.252
0.000 -2.386 7.252
K Ce S
1 1 2
direct
0.000 0.000 0.000
0.500 0.500 0.500
0.236 0.236 0.236
0.764 0.764 0.764
```

Calculated volume in Å³/cell: 107.28
E_form (uncorrected) in eV per atom: -1.75
Final energy in Ha/atom: -0.2159